This record from Alexandria via LeMat-Bulk describes a relaxed Sm2ErZn6 crystal. The functional is GGA-PBE.

a = 7.8170 Å, b = 7.8170 Å, c = 3.5392 Å
α = 90.00°, β = 90.00°, γ = 120.00°
Last column: nearest neighbours and their distance in Å.
Space group P6/mmm (No. 191)
Inequivalent atoms, fractional coordinates:
Sm 0.3333 0.6667 0.0000 [2 per cell]  12 Zn 3.16
Er 0.0000 0.0000 0.0000 [1 per cell]  12 Zn 3.13
Zn 0.0000 0.3304 0.5000 [6 per cell]  3 Zn 2.58-2.65

Results
uncorrected energy	-2.77	eV per atom